1.
VASP calculation (PBE-GGA) on crystalline Cu2NiAgCl6 at its relaxed geometry.

```
data_Cu2NiAgCl6
_chemical_formula_sum 'Cu2 Ni1 Ag1 Cl6'
_cell_length_a 6.3525
_cell_length_b 6.3531
_cell_length_c 7.0702
_cell_angle_alpha 63.38
_cell_angle_beta 63.33
_cell_angle_gamma 60.03
_symmetry_space_group_name_H-M 'P 1'
_symmetry_Int_Tables_number 1
loop_
_symmetry_equiv_pos_as_xyz
'x,y,z'
loop_
_atom_site_label
_atom_site_type_symbol
_atom_site_fract_x
_atom_site_fract_y
_atom_site_fract_z
Cu1 Cu 0.0000 0.0000 0.0000
Cu2 Cu 0.4787 0.4765 0.5667
Ni1 Ni 0.7403 0.7397 0.7798
Ag1 Ag 0.2402 0.2396 0.2806
Cl1 Cl 0.1217 0.5126 0.5483
Cl2 Cl 0.3589 0.9686 0.0106
Cl3 Cl 0.5134 0.8166 0.5485
Cl4 Cl 0.6621 0.3588 0.0108
Cl5 Cl 0.8183 0.1204 0.5483
Cl6 Cl 0.9683 0.6620 0.0109
```

## Properties
The density of states at the Fermi level is 7.51 states/eV/cell. The raw formation energy is -471 meV per atom.


2.
VASP calculation (PBE-GGA) on crystalline LiAl2Sn2 at its relaxed geometry.

```
data_LiAl2Sn2
_chemical_formula_sum 'Li2 Al4 Sn4'
_cell_length_a 4.7887
_cell_length_b 4.7887
_cell_length_c 11.2088
_cell_angle_alpha 90.00
_cell_angle_beta 90.00
_cell_angle_gamma 90.00
_symmetry_space_group_name_H-M 'I 4/m m m'
_symmetry_Int_Tables_number 139
_symmetry_space_group_name_Hall '-I 4 2'
loop_
_atom_site_label
_atom_site_type_symbol
_atom_site_fract_x
_atom_site_fract_y
_atom_site_fract_z
Li1 Li 0.0000 0.0000 0.0000
Al1 Al 0.0000 0.0000 0.3872
Sn1 Sn 0.0000 0.5000 0.2500
```

## Properties
As for the energy above the most stable polymorph in this dataset: 0.051 eV per atom. The density of states at the Fermi level is 4.22 states/eV/cell. The calculated formation energy is 0.09 eV/atom.


3.
VASP calculation (PBE-GGA) on crystalline La2Y5Th2 at its relaxed geometry.

```
data_La2Y5Th2
_chemical_formula_sum 'La4 Y10 Th4'
_cell_length_a 22.6510
_cell_length_b 3.5115
_cell_length_c 8.2390
_cell_angle_alpha 90.00
_cell_angle_beta 100.00
_cell_angle_gamma 90.00
_symmetry_space_group_name_H-M 'C 1 2/m 1'
_symmetry_Int_Tables_number 12
loop_
_symmetry_equiv_pos_as_xyz
'x,y,z'
'-x,-y,-z'
'-x,y,-z'
'x,-y,z'
'x+1/2,y+1/2,z'
'-x+1/2,-y+1/2,-z'
'-x+1/2,y+1/2,-z'
'x+1/2,-y+1/2,z'
loop_
_atom_site_label
_atom_site_type_symbol
_atom_site_fract_x
_atom_site_fract_y
_atom_site_fract_z
La1 La 0.1742 0.0000 0.1473
Y1 Y 0.0000 0.0000 0.0000
Y2 Y 0.0893 0.0000 0.7244
Y3 Y 0.1923 0.5000 0.5488
Th1 Th 0.0516 0.5000 0.3534
```

## Properties
The density of states at the Fermi level is 28.59 states/eV/cell. The calculated formation energy is 0.24 eV/atom.


4.
VASP calculation (PBE-GGA) on crystalline Tb3Ce2Zn3 at its relaxed geometry.

```
data_Tb3Ce2Zn3
_chemical_formula_sum 'Tb6 Ce4 Zn6'
_cell_length_a 3.5115
_cell_length_b 5.1288
_cell_length_c 21.8565
_cell_angle_alpha 90.00
_cell_angle_beta 90.00
_cell_angle_gamma 90.00
_symmetry_space_group_name_H-M 'I m m m'
_symmetry_Int_Tables_number 71
_symmetry_space_group_name_Hall '-I 2 2'
loop_
_atom_site_label
_atom_site_type_symbol
_atom_site_fract_x
_atom_site_fract_y
_atom_site_fract_z
Tb1 Tb 0.0000 0.0000 0.0000
Tb2 Tb 0.0000 0.5000 0.1168
Ce1 Ce 0.0000 0.0000 0.2334
Zn1 Zn 0.0000 0.0000 0.5000
Zn2 Zn 0.0000 0.5000 0.3849
```

## Properties
The density of states at the Fermi level is 28.21 states/eV/cell. The calculated formation energy is -0.20 eV/atom.


What did the first record say?
VASP calculation (PBE-GGA) on crystalline Cu2NiAgCl6 at its relaxed geometry.

```
data_Cu2NiAgCl6
_chemical_formula_sum 'Cu2 Ni1 Ag1 Cl6'
_cell_length_a 6.3525
_cell_length_b 6.3531
_cell_length_c 7.0702
_cell_angle_alpha 63.38
_cell_angle_beta 63.33
_cell_angle_gamma 60.03
_symmetry_space_group_name_H-M 'P 1'
_symmetry_Int_Tables_number 1
loop_
_symmetry_equiv_pos_as_xyz
'x,y,z'
loop_
_atom_site_label
_atom_site_type_symbol
_atom_site_fract_x
_atom_site_fract_y
_atom_site_fract_z
Cu1 Cu 0.0000 0.0000 0.0000
Cu2 Cu 0.4787 0.4765 0.5667
Ni1 Ni 0.7403 0.7397 0.7798
Ag1 Ag 0.2402 0.2396 0.2806
Cl1 Cl 0.1217 0.5126 0.5483
Cl2 Cl 0.3589 0.9686 0.0106
Cl3 Cl 0.5134 0.8166 0.5485
Cl4 Cl 0.6621 0.3588 0.0108
Cl5 Cl 0.8183 0.1204 0.5483
Cl6 Cl 0.9683 0.6620 0.0109
```

## Properties
The density of states at the Fermi level is 7.51 states/eV/cell. The raw formation energy is -471 meV per atom.


Q: The lowest density of states at the Fermi level belongs to which entry?
A: LiAl2Sn2


Q: Among the records above, which one has the lowest density of states at the Fermi level?
A: LiAl2Sn2